Density functional theory data (GGA-PBE) for crystalline SrMnPd2 at its relaxed geometry.

Calculated values
The value obtained for the energy of formation is -0.15 eV per atom. As for the space-group type: No. 225. For the total magnetization, the calculation gives 4.45 μB/f.u. The calculation puts the density at 7.33 g/cm³. The value obtained for the total energy is -5.4555 eV/atom.

a = 4.847 Å, b = 4.847 Å, c = 4.847 Å
α = 60.00°, β = 60.00°, γ = 60.00°
Element x y z (fractional)
Sr: 0.000 0.000 0.000
Mn: 0.500 0.500 0.500
Pd: 0.250 0.250 0.250
Pd: 0.750 0.750 0.750